The following is a PBE calculation of a relaxed structure of La2Y4Ge3O2, from Alexandria via LeMat-Bulk.

The value obtained for the total magnetization is 0.09 μB/atom. The calculation puts the formation energy (no corrections) at -1.607 eV per atom.

It has space group I4/mmm (No. 139), with a = 4.611 Å, b = 4.611 Å, c = 24.439 Å, α = 90.00°, β = 90.00° and γ = 90.00°. The distinct sites, in fractional coordinates, are La at (0.000, 0.000, 0.197), Y at (0.000, 0.500, 0.079), Ge at (0.000, 0.000, 0.331), Ge at (0.000, 0.000, 0.500) and O at (0.000, 0.000, 0.091).